# 1
The following is a GGA-PBEsol calculation of an optimized crystal structure of BaCdGeS4, from Alexandria via LeMat-Bulk.

Computed properties:
Its magnetic moment is 0.00 μB per formula unit. For the formation energy from raw total energies, the calculation gives -7.12 eV per formula unit.

Cell: 21.141 21.795 12.664 Å, 90.00 90.00 90.00°
Space group Fdd2 (No. 43)
Inequivalent atoms, fractional coordinates:
1 Ba 0.000 0.000 0.000 (multiplicity 8)
2 Ba 0.000 0.000 0.489 (multiplicity 8)
3 Ba 0.003 0.252 0.995 (multiplicity 16)
4 Cd 0.075 0.125 0.708 (multiplicity 16)
5 Cd 0.113 0.124 0.240 (multiplicity 16)
6 Ge 0.066 0.375 0.783 (multiplicity 16)
7 Ge 0.111 0.375 0.240 (multiplicity 16)
8 S 0.026 0.125 0.370 (multiplicity 16)
9 S 0.036 0.376 0.120 (multiplicity 16)
10 S 0.041 0.373 0.614 (multiplicity 16)
11 S 0.048 0.125 0.897 (multiplicity 16)
12 S 0.115 0.293 0.346 (multiplicity 16)
13 S 0.115 0.456 0.348 (multiplicity 16)
14 S 0.118 0.293 0.846 (multiplicity 16)
15 S 0.118 0.457 0.844 (multiplicity 16)

# 2
The following is a GGA-PBEsol calculation of an optimized crystal structure of Ba2CdP4H6O16, from Alexandria via LeMat-Bulk.

Computed properties:
The total energy is -383.437 eV for the cell shown. Its magnetic moment is 0.00 μB per formula unit.

Cell: 5.444 10.197 12.177 Å, 90.00 100.07 90.00°
Space group P2_1/c (No. 14)
Inequivalent atoms, fractional coordinates:
1 Ba 0.144 0.157 0.328 (multiplicity 4)
2 Cd 0.000 0.000 0.000 (multiplicity 2)
3 P 0.239 0.700 0.946 (multiplicity 4)
4 P 0.411 0.011 0.799 (multiplicity 4)
5 H 0.299 0.539 0.070 (multiplicity 4)
6 H 0.371 0.676 0.760 (multiplicity 4)
7 H 0.432 0.173 0.065 (multiplicity 4)
8 O 0.068 0.722 0.508 (multiplicity 4)
9 O 0.166 0.011 0.844 (multiplicity 4)
10 O 0.167 0.700 0.819 (multiplicity 4)
11 O 0.239 0.551 0.983 (multiplicity 4)
12 O 0.369 0.058 0.123 (multiplicity 4)
13 O 0.377 0.560 0.185 (multiplicity 4)
14 O 0.480 0.159 0.783 (multiplicity 4)
15 O 0.480 0.244 0.520 (multiplicity 4)

# 3
The following is a GGA-PBEsol calculation of an optimized crystal structure of BaHf3Cd, from Alexandria via LeMat-Bulk.

Computed properties:
The calculation puts the formation energy at 1164 meV per atom. Its magnetic moment is 0.01 μB per formula unit.

Cell: 5.299 5.299 5.299 Å, 90.00 90.00 90.00°
Space group Pm-3m (No. 221)
Inequivalent atoms, fractional coordinates:
1 Ba 0.000 0.000 0.000 (multiplicity 1)
2 Hf 0.000 0.500 0.500 (multiplicity 3)
3 Cd 0.500 0.500 0.500 (multiplicity 1)

# 4
The following is a GGA-PBEsol calculation of an optimized crystal structure of BaHfCd2Ni, from Alexandria via LeMat-Bulk.

Computed properties:
The calculation puts the formation energy at 90 meV per atom. Its magnetic moment is 0.00 μB per formula unit.

Cell: 5.072 5.072 4.767 Å, 90.00 90.00 90.00°
Space group P4/mmm (No. 123)
Inequivalent atoms, fractional coordinates:
1 Ba 0.000 0.000 0.000 (multiplicity 1)
2 Hf 0.500 0.500 0.000 (multiplicity 1)
3 Cd 0.000 0.500 0.500 (multiplicity 2)
4 Ni 0.500 0.500 0.500 (multiplicity 1)

# 5
The following is a GGA-PBEsol calculation of an optimized crystal structure of Ba2CdHg2, from Alexandria via LeMat-Bulk.

Computed properties:
The calculation puts the formation energy at -409 meV per atom. Its magnetic moment is 0.00 μB per formula unit.

Cell: 8.583 8.583 4.529 Å, 90.00 90.00 90.00°
Space group P4/mbm (No. 127)
Inequivalent atoms, fractional coordinates:
1 Ba 0.175 0.325 0.000 (multiplicity 4)
2 Cd 0.000 0.000 0.500 (multiplicity 2)
3 Hg 0.127 0.627 0.500 (multiplicity 4)

# 6
The following is a GGA-PBEsol calculation of an optimized crystal structure of Ba2CdHg, from Alexandria via LeMat-Bulk.

Computed properties:
The calculation puts the formation energy at -426 meV per atom. Its magnetic moment is 0.00 μB per formula unit.

Cell: 5.833 5.833 4.122 Å, 90.00 90.00 90.00°
Space group P4/mmm (No. 123)
Inequivalent atoms, fractional coordinates:
1 Ba 0.000 0.500 0.000 (multiplicity 2)
2 Cd 0.000 0.000 0.500 (multiplicity 1)
3 Hg 0.500 0.500 0.500 (multiplicity 1)

# 7
The following is a GGA-PBEsol calculation of an optimized crystal structure of BaCdHg3, from Alexandria via LeMat-Bulk.

Computed properties:
The calculation puts the formation energy at -171 meV per atom. Its magnetic moment is 0.00 μB per formula unit.

Cell: 5.410 5.410 5.410 Å, 90.00 90.00 90.00°
Space group Pm-3m (No. 221)
Inequivalent atoms, fractional coordinates:
1 Ba 0.000 0.000 0.000 (multiplicity 1)
2 Cd 0.500 0.500 0.500 (multiplicity 1)
3 Hg 0.000 0.500 0.500 (multiplicity 3)

# 8
The following is a GGA-PBEsol calculation of an optimized crystal structure of BaCdHg, from Alexandria via LeMat-Bulk.

Computed properties:
The calculation puts the formation energy at -186 meV per atom. Its magnetic moment is 0.00 μB per formula unit.

Cell: 7.439 7.439 7.439 Å, 90.00 90.00 90.00°
Space group F-43m (No. 216)
Inequivalent atoms, fractional coordinates:
1 Ba 0.000 0.000 0.000 (multiplicity 4)
2 Cd 0.250 0.250 0.750 (multiplicity 4)
3 Hg 0.000 0.000 0.500 (multiplicity 4)